Density functional theory data (PBEsol) for crystalline AlAu3Cl at its relaxed geometry.

Cell lengths 4.8233, 4.8233, 4.8233 Å; angles 90.00, 90.00, 90.00 degrees
Space group Pm-3m (No. 221)
Inequivalent atoms, fractional coordinates:
Al (0.0000, 0.0000, 0.0000) [1 per cell]
Au (0.0000, 0.5000, 0.5000) [3 per cell]
Cl (0.5000, 0.5000, 0.5000) [1 per cell]

Calculated values
Raw total energy in eV per atom: -2.61
Theoretical density in g/cm³: 9.67
Distance to the lowest polymorph of the same formula in eV/atom: 0.455
ΔE_f (raw) in meV/atom: 967
Size of the total moment in μB per formula unit: 0.0